An optimized crystal structure of Nb3TeRh, computed with PBE-GGA.

Properties
Fermi-level density of states in states/eV/f.u.: 10.3
Formation energy from raw total energies in meV per atom: 1637
Energy relative to the lowest polymorph listed for this composition in eV per formula unit: 3.94

abc: 4.9566 4.9566 4.9566
angles: 90.00 90.00 90.00
Last column: nearest neighbours and their distance in Å.
Element x y z (fractional)
Nb (0.5000, 0.0000, 0.0000)  2 Te 2.48
Te (0.0000, 0.0000, 0.0000)  6 Nb 2.48
Nb (0.0000, 0.0000, 0.5000)  2 Te 2.48
Rh (0.5000, 0.5000, 0.5000)  12 Nb 3.50
Nb (0.0000, 0.5000, 0.0000)  2 Te 2.48